[1]
Here is SrMg10Pd2 after structural relaxation from Alexandria. Energies are from PBE-GGA.

Lattice parameters (Å, degrees): 10.134 7.995 7.444 81.96 51.37 46.67
Fractional positions:
Sr: 0.000 0.000 0.000
Mg: 0.000 0.000 0.500
Mg: 0.022 0.342 0.658
Mg: 0.272 0.484 0.516
Mg: 0.342 0.022 0.978
Mg: 0.484 0.272 0.728
Mg: 0.500 0.500 0.000
Mg: 0.516 0.728 0.272
Mg: 0.658 0.978 0.022
Mg: 0.728 0.516 0.484
Mg: 0.978 0.658 0.342
Pd: 0.000 0.500 0.000
Pd: 0.500 0.000 0.500

Properties
Formation energy from the elements   -0.255 eV/atom
E_tot   -31.33 eV per cell

=====

[2]
Here is Sr3MgPd after structural relaxation from Alexandria. Energies are from PBE-GGA.

Lattice parameters (Å, degrees): 5.933 5.933 5.933 90.00 90.00 90.00
Fractional positions:
Sr: 0.000 0.000 0.500
Sr: 0.000 0.500 0.000
Sr: 0.500 0.000 0.000
Mg: 0.500 0.500 0.500
Pd: 0.000 0.000 0.000

Properties
Formation energy from the elements   -0.225 eV/atom
E_tot   -12.96 eV per cell
Energy relative to the lowest polymorph listed for this composition   0.00 kcal/mol of atoms

=====

[3]
Here is SrMg5Pd2 after structural relaxation from Alexandria. Energies are from PBE-GGA.

Lattice parameters (Å, degrees): 4.237 8.305 10.561 90.00 90.00 90.00
Fractional positions:
Sr: 0.000 0.000 0.000
Sr: 0.500 0.500 0.500
Mg: 0.000 0.186 0.337
Mg: 0.000 0.186 0.663
Mg: 0.000 0.500 0.000
Mg: 0.000 0.814 0.337
Mg: 0.000 0.814 0.663
Mg: 0.500 0.000 0.500
Mg: 0.500 0.314 0.163
Mg: 0.500 0.314 0.837
Mg: 0.500 0.686 0.163
Mg: 0.500 0.686 0.837
Pd: 0.000 0.500 0.251
Pd: 0.000 0.500 0.749
Pd: 0.500 0.000 0.249
Pd: 0.500 0.000 0.751

Properties
Formation energy from the elements   -0.439 eV/atom
E_tot   -47.10 eV per cell

=====

[4]
Here is SrMg2Pd2 after structural relaxation from Alexandria. Energies are from PBE-GGA.

Lattice parameters (Å, degrees): 4.817 4.817 10.127 90.00 90.00 90.00
Fractional positions:
Sr: 0.000 0.000 0.000
Sr: 0.500 0.500 0.500
Mg: 0.000 0.000 0.350
Mg: 0.000 0.000 0.650
Mg: 0.500 0.500 0.150
Mg: 0.500 0.500 0.850
Pd: 0.000 0.500 0.250
Pd: 0.000 0.500 0.750
Pd: 0.500 0.000 0.250
Pd: 0.500 0.000 0.750

Properties
Formation energy from the elements   -0.483 eV/atom
E_tot   -35.34 eV per cell
Energy relative to the lowest polymorph listed for this composition   2.55 kcal/mol of atoms

=====

[5]
Here is Sr2Mg2Pd after structural relaxation from Alexandria. Energies are from PBE-GGA.

Lattice parameters (Å, degrees): 7.025 7.025 7.566 105.21 105.21 58.19
Fractional positions:
Sr: 0.068 0.238 0.134
Sr: 0.238 0.068 0.634
Sr: 0.762 0.932 0.366
Sr: 0.932 0.762 0.866
Mg: 0.305 0.502 0.532
Mg: 0.498 0.695 0.968
Mg: 0.502 0.305 0.032
Mg: 0.695 0.498 0.468
Pd: 0.288 0.712 0.250
Pd: 0.712 0.288 0.750

Properties
Formation energy from the elements   -0.308 eV/atom
E_tot   -26.57 eV per cell
Energy relative to the lowest polymorph listed for this composition   0.00 kcal/mol of atoms

=====

[6]
Here is Sr2Mg3Pd4 after structural relaxation from Alexandria. Energies are from PBE-GGA.

Lattice parameters (Å, degrees): 8.847 8.847 7.672 90.00 90.00 139.85
Fractional positions:
Sr: 0.104 0.896 0.913
Sr: 0.396 0.604 0.413
Sr: 0.604 0.396 0.587
Sr: 0.896 0.104 0.087
Mg: 0.000 0.000 0.500
Mg: 0.021 0.479 0.750
Mg: 0.479 0.021 0.250
Mg: 0.500 0.500 0.000
Mg: 0.521 0.979 0.750
Mg: 0.979 0.521 0.250
Pd: 0.172 0.828 0.518
Pd: 0.183 0.317 0.750
Pd: 0.317 0.183 0.250
Pd: 0.328 0.672 0.018
Pd: 0.672 0.328 0.982
Pd: 0.683 0.817 0.750
Pd: 0.817 0.683 0.250
Pd: 0.828 0.172 0.482

Properties
Formation energy from the elements   -0.595 eV/atom
E_tot   -68.55 eV per cell

=====

[7]
Here is SrMgPd2 after structural relaxation from Alexandria. Energies are from PBE-GGA.

Lattice parameters (Å, degrees): 3.420 3.420 7.102 90.00 90.00 90.00
Fractional positions:
Sr: 0.000 0.000 0.000
Mg: 0.000 0.000 0.500
Pd: 0.500 0.500 0.299
Pd: 0.500 0.500 0.701

Properties
Formation energy from the elements   -0.558 eV/atom
E_tot   -15.89 eV per cell

=====

[8]
Here is SrMgPd after structural relaxation from Alexandria. Energies are from PBE-GGA.

Lattice parameters (Å, degrees): 4.588 4.588 4.481 90.00 90.00 120.00
Fractional positions:
Sr: 0.000 0.000 0.000
Mg: 0.333 0.667 0.500
Pd: 0.667 0.333 0.500

Properties
Formation energy from the elements   -0.464 eV/atom
E_tot   -9.86 eV per cell

=====

[9]
Here is Sr2Mg4Pd after structural relaxation from Alexandria. Energies are from PBE-GGA.

Lattice parameters (Å, degrees): 5.089 5.089 17.690 90.00 90.00 90.00
Fractional positions:
Sr: 0.000 0.000 0.158
Sr: 0.000 0.000 0.842
Sr: 0.500 0.500 0.342
Sr: 0.500 0.500 0.658
Mg: 0.000 0.000 0.357
Mg: 0.000 0.000 0.643
Mg: 0.000 0.500 0.000
Mg: 0.000 0.500 0.500
Mg: 0.500 0.000 0.000
Mg: 0.500 0.000 0.500
Mg: 0.500 0.500 0.143
Mg: 0.500 0.500 0.857
Pd: 0.000 0.000 0.500
Pd: 0.500 0.500 0.000

Properties
Formation energy from the elements   -0.136 eV/atom
E_tot   -31.78 eV per cell

=====

[10]
Here is SrMg11Pd after structural relaxation from Alexandria. Energies are from PBE-GGA.

Lattice parameters (Å, degrees): 7.841 7.841 7.816 96.95 96.95 137.44
Fractional positions:
Sr: 0.000 0.000 0.000
Mg: 0.000 0.000 0.500
Mg: 0.000 0.500 0.000
Mg: 0.012 0.356 0.362
Mg: 0.298 0.508 0.773
Mg: 0.356 0.012 0.362
Mg: 0.492 0.702 0.227
Mg: 0.500 0.000 0.000
Mg: 0.508 0.298 0.773
Mg: 0.644 0.988 0.638
Mg: 0.702 0.492 0.227
Mg: 0.988 0.644 0.638
Pd: 0.500 0.500 0.500

Properties
Formation energy from the elements   -0.151 eV/atom
E_tot   -26.38 eV per cell

=====

[11]
Here is SrMgPd after structural relaxation from Alexandria. Energies are from PBE-GGA.

Lattice parameters (Å, degrees): 5.404 4.967 6.086 90.00 102.66 90.00
Fractional positions:
Sr: 0.216 0.250 0.391
Sr: 0.784 0.750 0.609
Mg: 0.340 0.750 0.999
Mg: 0.660 0.250 0.001
Pd: 0.124 0.250 0.879
Pd: 0.876 0.750 0.121

Properties
Formation energy from the elements   -0.498 eV/atom
E_tot   -19.93 eV per cell

=====

[12]
Here is SrMgPd2 after structural relaxation from Alexandria. Energies are from PBE-GGA.

Lattice parameters (Å, degrees): 5.052 5.052 17.294 90.00 90.00 90.00
Fractional positions:
Sr: 0.000 0.000 0.000
Sr: 0.000 0.500 0.250
Sr: 0.500 0.000 0.750
Sr: 0.500 0.500 0.500
Mg: 0.000 0.000 0.500
Mg: 0.000 0.500 0.750
Mg: 0.500 0.000 0.250
Mg: 0.500 0.500 0.000
Pd: 0.072 0.250 0.625
Pd: 0.250 0.572 0.875
Pd: 0.250 0.928 0.375
Pd: 0.428 0.250 0.125
Pd: 0.572 0.750 0.125
Pd: 0.750 0.072 0.375
Pd: 0.750 0.428 0.875
Pd: 0.928 0.750 0.625

Properties
Formation energy from the elements   -0.278 eV/atom
E_tot   -59.10 eV per cell

=====

[13]
Here is SrMgPd after structural relaxation from Alexandria. Energies are from PBE-GGA.

Lattice parameters (Å, degrees): 4.416 4.416 7.972 90.00 90.00 90.00
Fractional positions:
Sr: 0.250 0.250 0.155
Sr: 0.750 0.750 0.845
Mg: 0.250 0.750 0.500
Mg: 0.750 0.250 0.500
Pd: 0.250 0.250 0.710
Pd: 0.750 0.750 0.290

Properties
Formation energy from the elements   -0.555 eV/atom
E_tot   -20.27 eV per cell

=====

[14]
Here is Sr2Mg2Pd15 after structural relaxation from Alexandria. Energies are from PBE-GGA.

Lattice parameters (Å, degrees): 7.060 7.060 7.060 81.90 81.90 81.90
Fractional positions:
Sr: 0.151 0.151 0.151
Sr: 0.849 0.849 0.849
Mg: 0.398 0.398 0.398
Mg: 0.602 0.602 0.602
Pd: 0.000 0.500 0.500
Pd: 0.155 0.155 0.653
Pd: 0.155 0.653 0.155
Pd: 0.203 0.500 0.797
Pd: 0.203 0.797 0.500
Pd: 0.347 0.845 0.845
Pd: 0.500 0.000 0.500
Pd: 0.500 0.203 0.797
Pd: 0.500 0.500 0.000
Pd: 0.500 0.797 0.203
Pd: 0.653 0.155 0.155
Pd: 0.797 0.203 0.500
Pd: 0.797 0.500 0.203
Pd: 0.845 0.347 0.845
Pd: 0.845 0.845 0.347

Properties
Formation energy from the elements   -0.386 eV/atom
E_tot   -91.78 eV per cell

=====

[15]
Here is Sr4MgPd after structural relaxation from Alexandria. Energies are from PBE-GGA.

Lattice parameters (Å, degrees): 8.802 8.802 6.981 100.98 100.98 111.27
Fractional positions:
Sr: 0.060 0.727 0.948
Sr: 0.202 0.361 0.629
Sr: 0.273 0.940 0.552
Sr: 0.361 0.202 0.129
Sr: 0.639 0.798 0.871
Sr: 0.727 0.060 0.448
Sr: 0.798 0.639 0.371
Sr: 0.940 0.273 0.052
Mg: 0.374 0.626 0.250
Mg: 0.626 0.374 0.750
Pd: 0.001 0.999 0.750
Pd: 0.999 0.001 0.250

Properties
Formation energy from the elements   -0.222 eV/atom
E_tot   -29.69 eV per cell

=====

[16]
Here is Sr2Mg2Pd after structural relaxation from Alexandria. Energies are from PBE-GGA.

Lattice parameters (Å, degrees): 7.373 7.373 5.544 90.00 90.00 90.00
Fractional positions:
Sr: 0.180 0.320 0.000
Sr: 0.320 0.820 0.000
Sr: 0.680 0.180 0.000
Sr: 0.820 0.680 0.000
Mg: 0.147 0.647 0.500
Mg: 0.353 0.147 0.500
Mg: 0.647 0.853 0.500
Mg: 0.853 0.353 0.500
Pd: 0.000 0.000 0.500
Pd: 0.500 0.500 0.500

Properties
Formation energy from the elements   -0.135 eV/atom
E_tot   -24.84 eV per cell
Energy relative to the lowest polymorph listed for this composition   3.98 kcal/mol of atoms

=====

[17]
Here is Sr3Mg9Pd2 after structural relaxation from Alexandria. Energies are from PBE-GGA.

Lattice parameters (Å, degrees): 9.192 9.192 9.192 149.39 104.64 83.49
Fractional positions:
Sr: 0.000 0.000 0.000
Sr: 0.314 0.314 0.000
Sr: 0.686 0.686 0.000
Mg: 0.015 0.660 0.354
Mg: 0.169 0.887 0.282
Mg: 0.306 0.660 0.646
Mg: 0.394 0.113 0.282
Mg: 0.500 0.000 0.500
Mg: 0.606 0.887 0.718
Mg: 0.694 0.340 0.354
Mg: 0.831 0.113 0.718
Mg: 0.985 0.340 0.646
Pd: 0.298 0.500 0.798
Pd: 0.702 0.500 0.202

Properties
Formation energy from the elements   -0.202 eV/atom
E_tot   -32.60 eV per cell

=====

[18]
Here is Sr3MgPd8 after structural relaxation from Alexandria. Energies are from PBE-GGA.

Lattice parameters (Å, degrees): 9.554 9.554 9.554 33.73 33.73 33.73
Fractional positions:
Sr: 0.000 0.000 0.000
Sr: 0.127 0.127 0.127
Sr: 0.507 0.507 0.507
Mg: 0.631 0.631 0.631
Pd: 0.060 0.565 0.565
Pd: 0.067 0.067 0.568
Pd: 0.067 0.568 0.067
Pd: 0.315 0.315 0.315
Pd: 0.565 0.060 0.565
Pd: 0.565 0.565 0.060
Pd: 0.568 0.067 0.067
Pd: 0.815 0.815 0.815

Properties
Formation energy from the elements   -0.571 eV/atom
E_tot   -55.04 eV per cell

=====

[19]
Here is SrMgPd after structural relaxation from Alexandria. Energies are from PBE-GGA.

Lattice parameters (Å, degrees): 3.601 3.601 11.664 90.00 90.00 90.00
Fractional positions:
Sr: 0.000 0.000 0.000
Sr: 0.500 0.500 0.500
Mg: 0.000 0.000 0.275
Mg: 0.500 0.500 0.775
Pd: 0.000 0.000 0.682
Pd: 0.500 0.500 0.182

Properties
Formation energy from the elements   -0.401 eV/atom
E_tot   -19.35 eV per cell

=====

[20]
Here is SrMgPd3 after structural relaxation from Alexandria. Energies are from PBE-GGA.

Lattice parameters (Å, degrees): 5.160 5.160 5.160 90.00 90.00 90.00
Fractional positions:
Sr: 0.000 0.000 0.000
Mg: 0.500 0.500 0.500
Pd: 0.000 0.000 0.500
Pd: 0.000 0.500 0.000
Pd: 0.500 0.000 0.000

Properties
Formation energy from the elements   0.692 eV/atom
E_tot   -15.39 eV per cell
Energy relative to the lowest polymorph listed for this composition   26.73 kcal/mol of atoms

=====

Record order is preserved below.
N(E_F): 0.44 0.63 0.45 0.42 0.62 0.38 0.30 0.15 0.75 0.48 0.40 0.37 0.45 1.05 0.82 0.78 0.51 0.59 0.48 0.27 states/eV/atom